## NbMo2Au (PBE)

Data for a geometry-optimized NbMo2Au structure.

Unit cell a=4.5714 b=4.5714 c=4.5714 alpha=60.00 beta=60.00 gamma=60.00
Sites, in units of the cell vectors:
Au  0.2500  0.2500  0.2500
Mo  0.0000  0.0000  0.0000
Mo  0.7500  0.7500  0.7500
Nb  0.5000  0.5000  0.5000

Summary:
- Crystal system: cubic
- E_form: 246 meV/atom
- Energy: -8.52 eV per atom



## NbMoAu (PBE)

Data for a geometry-optimized NbMoAu structure.

Unit cell a=4.4087 b=4.4087 c=4.4087 alpha=60.00 beta=60.00 gamma=60.00
Sites, in units of the cell vectors:
Au  0.2500  0.2500  0.2500
Mo  0.0000  0.0000  0.0000
Nb  0.7500  0.7500  0.7500

Summary:
- Crystal system: cubic
- E above lowest polymorph: 0 meV/atom
- E_form: 871 meV/atom
- Energy: -7.20 eV per atom



## NiMoAu2 (PBE)

Data for a geometry-optimized NiMoAu2 structure.

Unit cell a=4.4654 b=4.4654 c=4.4654 alpha=60.00 beta=60.00 gamma=60.00
Sites, in units of the cell vectors:
Au  0.2500  0.2500  0.2500
Au  0.7500  0.7500  0.7500
Mo  0.0000  0.0000  0.0000
Ni  0.5000  0.5000  0.5000

Summary:
- Crystal system: cubic
- E above lowest polymorph: 0 meV/atom
- E_form: 332 meV/atom
- Energy: -5.41 eV per atom



## NiMoPbAu (PBE)

Data for a geometry-optimized NiMoPbAu structure.

Unit cell a=4.6218 b=4.6218 c=4.6218 alpha=60.00 beta=60.00 gamma=60.00
Sites, in units of the cell vectors:
Au  0.5000  0.5000  0.5000
Mo  0.2500  0.2500  0.2500
Ni  0.7500  0.7500  0.7500
Pb  0.0000  0.0000  0.0000

Summary:
- Crystal system: cubic
- Energy: -5.34 eV per atom



## NiSbMoAu (PBE)

Data for a geometry-optimized NiSbMoAu structure.

Unit cell a=4.5466 b=4.5466 c=4.5466 alpha=60.00 beta=60.00 gamma=60.00
Sites, in units of the cell vectors:
Au  0.5000  0.5000  0.5000
Mo  0.2500  0.2500  0.2500
Ni  0.7500  0.7500  0.7500
Sb  0.0000  0.0000  0.0000

Summary:
- Crystal system: cubic
- Energy: -5.70 eV per atom



## ZnNiMoAu (PBE)

Data for a geometry-optimized ZnNiMoAu structure.

Unit cell a=4.3665 b=4.3665 c=4.3665 alpha=60.00 beta=60.00 gamma=60.00
Sites, in units of the cell vectors:
Au  0.5000  0.5000  0.5000
Mo  0.2500  0.2500  0.2500
Ni  0.7500  0.7500  0.7500
Zn  0.0000  0.0000  0.0000

Summary:
- Crystal system: cubic
- E_form: 258 meV/atom
- Energy: -4.98 eV per atom



## NpMoAu (PBE)

Data for a geometry-optimized NpMoAu structure.

Unit cell a=4.5077 b=4.5077 c=4.5077 alpha=60.00 beta=60.00 gamma=60.00
Sites, in units of the cell vectors:
Au  0.2500  0.2500  0.2500
Mo  0.0000  0.0000  0.0000
Np  0.7500  0.7500  0.7500

Summary:
- Crystal system: cubic
- E_form: 711 meV/atom
- Energy: -8.25 eV per atom



## Mo3P5Au (PBE)

Data for a geometry-optimized Mo3P5Au structure.

Unit cell a=5.2619 b=5.2619 c=6.9086 alpha=90.00 beta=90.00 gamma=120.00
Sites, in units of the cell vectors:
Au  0.0000  0.0000  0.0000
Mo  0.5000  0.0000  0.5000
Mo  0.0000  0.5000  0.5000
Mo  0.5000  0.5000  0.5000
P  0.6667  0.3333  0.2091
P  0.3333  0.6667  0.2091
P  0.0000  0.0000  0.5000
P  0.6667  0.3333  0.7909
P  0.3333  0.6667  0.7909

Summary:
- Crystal system: hexagonal
- Energy: -6.71 eV per atom



## Mo3Pb5Au (PBE)

Data for a geometry-optimized Mo3Pb5Au structure.

Unit cell a=5.5493 b=5.5493 c=8.5616 alpha=90.00 beta=90.00 gamma=120.00
Sites, in units of the cell vectors:
Au  0.0000  0.0000  0.0000
Mo  0.5000  0.0000  0.5000
Mo  0.0000  0.5000  0.5000
Mo  0.5000  0.5000  0.5000
Pb  0.6667  0.3333  0.1990
Pb  0.3333  0.6667  0.1990
Pb  0.0000  0.0000  0.5000
Pb  0.6667  0.3333  0.8010
Pb  0.3333  0.6667  0.8010

Summary:
- Crystal system: hexagonal
- Energy: -5.59 eV per atom



## MoPdAu2 (PBE)

Data for a geometry-optimized MoPdAu2 structure.

Unit cell a=4.5518 b=4.5518 c=4.5518 alpha=60.00 beta=60.00 gamma=60.00
Sites, in units of the cell vectors:
Au  0.2500  0.2500  0.2500
Au  0.7500  0.7500  0.7500
Mo  0.0000  0.0000  0.0000
Pd  0.5000  0.5000  0.5000

Summary:
- Crystal system: cubic
- E above lowest polymorph: 0 meV/atom
- E_form: 232 meV/atom
- Energy: -5.41 eV per atom



## MoPd2Au (PBE)

Data for a geometry-optimized MoPd2Au structure.

Unit cell a=2.8007 b=2.8007 c=8.1170 alpha=90.00 beta=90.00 gamma=90.00
Sites, in units of the cell vectors:
Au  0.5000  0.5000  0.0000
Mo  0.5000  0.5000  0.5000
Pd  0.0000  0.0000  0.2646
Pd  0.0000  0.0000  0.7354

Summary:
- Crystal system: tetragonal
- E above lowest polymorph: 0 meV/atom
- E_form: -105 meV/atom
- Energy: -6.22 eV per atom



## Mo2PdAu (PBE)

Data for a geometry-optimized Mo2PdAu structure.

Unit cell a=4.5106 b=4.5106 c=4.5106 alpha=60.00 beta=60.00 gamma=60.00
Each line ends with the local moment (μB).
Sites, in units of the cell vectors:
Au  0.2500  0.2500  0.2500  0.02
Mo  0.0000  0.0000  0.0000  0.09
Mo  0.7500  0.7500  0.7500  0.04
Pd  0.5000  0.5000  0.5000  0.03

Summary:
- Crystal system: cubic
- E_form: 321 meV/atom
- Energy: -7.21 eV per atom